Compound: CrBiSe2
Source: the Alexandria database
Functional: PBE-GGA
Structure: relaxed

Cell lengths 16.257, 3.156, 9.239 Å; angles 90.00, 124.53, 90.00 degrees
Space group C2/m (No. 12)
Inequivalent atoms, fractional coordinates:
Cr: 0.000 0.000 0.107 [4 per cell]
Bi: 0.118 0.500 0.617 [4 per cell]
Se: 0.132 0.500 0.309 [4 per cell]
Se: 0.132 0.500 0.953 [4 per cell]

Properties
The raw formation energy comes out at -206 meV/atom. The total DFT energy (no corrections) is -5.324 eV per atom. The crystal system is monoclinic. The spin magnetization comes out at 0.00 μB per formula unit.